# PBE CeDyTmSc, relaxed
data_CeDyTmSc
_chemical_formula_sum 'Ce4 Dy4 Tm4 Sc4'
_cell_length_a 7.772
_cell_length_b 7.772
_cell_length_c 7.772
_cell_angle_alpha 90.00
_cell_angle_beta 90.00
_cell_angle_gamma 90.00
_symmetry_space_group_name_H-M 'F -4 3 m'
_symmetry_Int_Tables_number 216
_symmetry_space_group_name_Hall 'F -4 2 3'
loop_
_atom_site_label
_atom_site_fract_x
_atom_site_fract_y
_atom_site_fract_z
Ce1 0.000 0.000 0.000
Dy1 0.000 0.000 0.500
Tm1 0.250 0.250 0.750
Sc1 0.250 0.250 0.250
# E_form (eV/atom): 0.13
# Fermi-level density of states (states/eV per atom): 1.8526
# Theoretical density (Mg/m³): 7.31
# Raw total energy (eV/cell): -83.3

# PBE AuCl3F, relaxed
data_AuCl3F
_chemical_formula_sum 'Au1 Cl3 F1'
_cell_length_a 4.924
_cell_length_b 4.924
_cell_length_c 4.924
_cell_angle_alpha 90.00
_cell_angle_beta 90.00
_cell_angle_gamma 90.00
_symmetry_space_group_name_H-M 'P m -3 m'
_symmetry_Int_Tables_number 221
_symmetry_space_group_name_Hall '-P 4 2 3'
loop_
_atom_site_label
_atom_site_fract_x
_atom_site_fract_y
_atom_site_fract_z
Au1 0.000 0.000 0.000
Cl1 0.000 0.000 0.500
F1 0.500 0.500 0.500
# Fermi-level density of states (states/eV per atom): 1.9506
# Theoretical density (Mg/m³): 4.48
# E above lowest polymorph (eV/f.u.): 2.23
# Energy relative to the elements, uncorrected (eV per formula unit): 0.68
# Raw total energy (eV/cell): -10.0

# PBE LiAc2Pr2, relaxed
data_LiAc2Pr2
_chemical_formula_sum 'Li2 Ac4 Pr4'
_cell_length_a 3.878
_cell_length_b 3.878
_cell_length_c 24.618
_cell_angle_alpha 90.00
_cell_angle_beta 90.00
_cell_angle_gamma 90.00
_symmetry_space_group_name_H-M 'I 4/m m m'
_symmetry_Int_Tables_number 139
_symmetry_space_group_name_Hall '-I 4 2'
loop_
_atom_site_label
_atom_site_fract_x
_atom_site_fract_y
_atom_site_fract_z
Li1 0.000 0.000 0.000
Ac1 0.000 0.000 0.409
Pr1 0.000 0.000 0.199
# E_form (eV/atom): 0.05
# Fermi-level density of states (states/eV per atom): 1.3551
# Theoretical density (Mg/m³): 6.66
# Raw total energy (eV/cell): -38.9

# PBE KHfU2O8, relaxed
data_KHfU2O8
_chemical_formula_sum 'K2 Hf2 U4 O16'
_cell_length_a 6.995
_cell_length_b 7.283
_cell_length_c 7.077
_cell_angle_alpha 90.00
_cell_angle_beta 90.00
_cell_angle_gamma 90.00
_symmetry_space_group_name_H-M 'C m m m'
_symmetry_Int_Tables_number 65
_symmetry_space_group_name_Hall '-C 2 2'
loop_
_atom_site_label
_atom_site_fract_x
_atom_site_fract_y
_atom_site_fract_z
K1 0.000 0.000 0.000
Hf1 0.000 0.000 0.500
U1 0.000 0.500 0.252
O1 0.000 0.299 0.500
O2 0.000 0.336 0.000
O3 0.212 0.000 0.292
# Fermi-level density of states (states/eV per atom): 0.5341
# Theoretical density (Mg/m³): 7.57
# Energy relative to the elements, uncorrected (eV per formula unit): -36.25
# Raw total energy (eV/cell): -219.1

# PBE Ni3IrPt, relaxed
data_Ni3IrPt
_chemical_formula_sum 'Ni6 Ir2 Pt2'
_cell_length_a 2.635
_cell_length_b 7.974
_cell_length_c 6.868
_cell_angle_alpha 90.00
_cell_angle_beta 90.00
_cell_angle_gamma 90.00
_symmetry_space_group_name_H-M 'A m m 2'
_symmetry_Int_Tables_number 38
_symmetry_space_group_name_Hall 'A 2 -2'
loop_
_atom_site_label
_atom_site_fract_x
_atom_site_fract_y
_atom_site_fract_z
Ni1 0.000 0.000 0.000
Ni2 0.500 0.248 0.071
Ir1 0.000 0.000 0.664
Pt1 0.500 0.000 0.319
# E_form (eV/atom): 0.35
# Fermi-level density of states (states/eV per atom): 1.5105
# Theoretical density (Mg/m³): 12.96
# E above lowest polymorph (eV/f.u.): 1.83
# Raw total energy (eV/cell): -61.0

# PBE Tm2PuThN4, relaxed
data_Tm2PuThN4
_chemical_formula_sum 'Tm2 Pu1 Th1 N4'
_cell_length_a 6.039
_cell_length_b 3.501
_cell_length_c 6.075
_cell_angle_alpha 90.00
_cell_angle_beta 109.60
_cell_angle_gamma 90.00
_symmetry_space_group_name_H-M 'P 1 2/m 1'
_symmetry_Int_Tables_number 10
_symmetry_space_group_name_Hall '-P 2y'
loop_
_atom_site_label
_atom_site_fract_x
_atom_site_fract_y
_atom_site_fract_z
Tm1 0.000 0.000 0.000
Tm2 0.500 0.500 0.000
Pu1 0.000 0.500 0.500
Th1 0.500 0.000 0.500
N1 0.246 0.000 0.754
N2 0.246 0.500 0.239
# Fermi-level density of states (states/eV per atom): 0.9993
# Theoretical density (Mg/m³): 11.94
# Energy relative to the elements, uncorrected (eV per formula unit): -12.61
# Raw total energy (eV/cell): -76.6